Below is a geometry-optimized KScHgSe3 structure, with properties calculated at the PBE-GGA level.

Magnetic moment: 0.000 μB per atom
Formation energy without anion corrections: -1.090 eV per atom
Space group: P2_1/m (11)
E_tot: -24.72 eV/f.u.

Cell and atoms, written as POSCAR:
```
KScHgSe3
1.0
8.629 0.000 0.000
0.000 4.113 0.000
-3.217 0.000 9.615
K Sc Hg Se
2 2 2 6
Direct
0.221 0.250 0.248
0.779 0.750 0.752
0.333 0.750 0.869
0.667 0.250 0.131
0.088 0.250 0.614
0.912 0.750 0.386
0.115 0.250 0.877
0.259 0.750 0.555
0.461 0.750 0.143
0.539 0.250 0.857
0.741 0.250 0.445
0.885 0.750 0.123
```